1.
Density functional theory data (PBE) for a relaxed structure of CaPm2Au.

Geometry as extended XYZ:
```
4
Lattice="-3.461 -0.558 -1.733 -3.221 -0.461 2.169 -3.790 9.847 -0.011" Properties=species:S:1:pos:R:3 pbc="T T T"
Ca -5.236 4.414 0.213
Au 0.000 0.000 0.000
Pm -2.529 1.627 0.115
Pm -7.942 7.202 0.310
```

## Properties
Energy relative to the elements (eV/atom): -0.24
M_tot (μB per cell): 0.00
Energy above the lowest structure with this stoichiometry (meV/atom): 129
Symmetry: No. 166

=====

2.
Density functional theory data (PBE) for a relaxed structure of Ca4CuMo.

Geometry as extended XYZ:
```
6
Lattice="0.000 4.555 4.555 4.555 0.000 4.555 4.555 4.555 0.000" Properties=species:S:1:pos:R:3 pbc="T T T"
Ca 3.415 5.696 5.696
Ca 5.696 5.696 3.415
Ca 5.696 3.415 5.696
Ca 3.415 3.415 3.415
Cu 6.833 6.833 6.833
Mo 0.000 0.000 0.000
```

## Properties
Energy relative to the elements (eV/atom): 1.10
M_tot (μB per cell): 4.26
Symmetry: No. 216

=====

3.
Density functional theory data (PBE) for a relaxed structure of SmYCdGa.

Geometry as extended XYZ:
```
4
Lattice="3.661 0.000 0.000 0.000 3.661 0.000 0.000 0.000 7.551" Properties=species:S:1:pos:R:3 pbc="T T T"
Sm 1.830 1.830 0.929
Y 1.830 1.830 4.472
Cd 0.000 0.000 6.404
Ga 0.000 0.000 2.754
```

## Properties
Energy relative to the elements (eV/atom): -0.47
M_tot (μB per cell): 0.00
Energy above the lowest structure with this stoichiometry (meV/atom): 0
Symmetry: No. 99

=====

4.
Density functional theory data (PBE) for a relaxed structure of MgSiPd3.

Geometry as extended XYZ:
```
5
Lattice="4.581 0.000 0.000 0.000 4.581 0.000 0.000 0.000 4.581" Properties=species:S:1:pos:R:3 pbc="T T T"
Si 2.291 2.291 2.291
Mg 0.000 0.000 0.000
Pd 0.000 2.291 0.000
Pd 0.000 0.000 2.291
Pd 2.291 0.000 0.000
```

## Properties
M_tot (μB per cell): 0.00
Formation energy from raw total energies (meV per atom): 638.2
Energy above the lowest structure with this stoichiometry (meV/atom): 1230
Symmetry: No. 221

=====

5.
Density functional theory data (PBE) for a relaxed structure of RbNa2Tl6Pb2.

Geometry as extended XYZ:
```
11
Lattice="-2.808 -0.158 6.043 6.701 -3.479 5.886 -7.120 9.147 -2.092" Properties=species:S:1:pos:R:3 pbc="T T T"
Rb -4.964 4.495 1.975
Na -1.634 3.826 3.396
Na -1.593 1.685 6.441
Tl 4.753 -2.417 7.231
Tl -6.142 7.900 -0.139
Tl 0.737 1.575 3.843
Tl 2.916 -2.389 9.976
Tl -3.963 3.936 5.994
Tl -7.980 7.928 2.606
Pb -5.985 6.433 5.107
Pb 2.758 -0.921 4.730
```

## Properties
Energy relative to the elements (eV/atom): -0.06
M_tot (μB per cell): 0.00
Symmetry: No. 2

=====

6.
Density functional theory data (PBE) for a relaxed structure of Li2NpScO4.

Geometry as extended XYZ:
```
8
Lattice="4.420 0.003 0.000 -0.002 4.420 0.000 -2.209 -2.211 4.905" Properties=species:S:1:pos:R:3 pbc="T T T"
Li -0.001 2.210 2.452
Li 0.000 0.000 0.000
Np 2.210 0.001 2.452
Sc 2.209 2.211 0.000
O 2.210 0.001 4.829
O 2.210 0.001 0.076
O 2.209 2.211 2.175
O 0.000 0.000 2.730
```

## Properties
M_tot (μB per cell): 4.00
Formation energy from raw total energies (meV per atom): -2608.2
Symmetry: No. 119

=====

7.
Density functional theory data (PBE) for a relaxed structure of SrRhO6.

Geometry as extended XYZ:
```
8
Lattice="-0.201 0.042 -4.755 4.749 -0.130 0.288 -0.648 -4.691 0.476" Properties=species:S:1:pos:R:3 pbc="T T T"
Sr 0.000 0.000 0.000
Rh 1.950 -2.389 -1.995
O 2.648 -1.099 -0.768
O 0.613 -2.819 -0.698
O 1.252 -3.679 -3.222
O 3.119 -3.744 -1.321
O 3.287 -1.960 -3.293
O 0.782 -1.034 -2.670
```

## Properties
M_tot (μB per cell): 4.70
Formation energy from raw total energies (meV per atom): -430.2
Symmetry: No. 166

=====

8.
Density functional theory data (PBE) for a relaxed structure of Ac8Y2Er.

Geometry as extended XYZ:
```
11
Lattice="-1.744 -4.582 -2.555 3.381 -4.827 6.349 -8.326 4.226 4.089" Properties=species:S:1:pos:R:3 pbc="T T T"
Ac -1.116 -6.006 5.551
Ac -5.622 -1.072 5.762
Ac -1.900 -0.379 1.977
Ac -8.294 -1.840 2.982
Ac -4.790 -4.805 5.906
Ac -1.067 -4.112 2.121
Ac -5.574 0.822 2.332
Ac 1.605 -3.343 4.901
Y -2.023 -2.176 5.285
Y -4.666 -3.007 2.598
Er -0.872 -2.291 -1.277
```

## Properties
Energy relative to the elements (eV/atom): 0.05
M_tot (μB per cell): 0.00
Symmetry: No. 12

=====

9.
Density functional theory data (PBE) for a relaxed structure of RbCrTe3As.

Geometry as extended XYZ:
```
12
Lattice="-2.206 -2.275 -1.759 1.470 -6.462 6.513 -8.660 5.743 3.434" Properties=species:S:1:pos:R:3 pbc="T T T"
Rb -3.004 0.042 1.846
Rb -6.392 -3.036 6.342
Cr -0.928 -4.043 4.526
Cr -8.468 1.050 3.662
Te -1.068 -6.816 4.553
Te -8.329 3.822 3.636
Te -3.026 -2.238 4.822
Te -6.371 -0.756 3.366
Te -1.924 -3.978 1.957
Te -7.472 0.984 6.232
As -6.268 2.244 3.093
As -3.128 -5.238 5.096
```

## Properties
M_tot (μB per cell): 2.10
Formation energy from raw total energies (meV per atom): -267.3
Symmetry: No. 11

=====

10.
Density functional theory data (PBE) for a relaxed structure of TaCoIrRu.

Geometry as extended XYZ:
```
4
Lattice="-3.526 0.505 -1.295 0.335 -3.158 -2.143 -1.383 -2.137 2.932" Properties=species:S:1:pos:R:3 pbc="T T T"
Ta -1.595 -1.327 -1.719
Co -2.454 -0.816 0.819
Ir -0.524 -2.647 0.394
Ru 0.000 0.000 0.000
```

## Properties
Energy relative to the elements (eV/atom): -0.39
M_tot (μB per cell): 0.00
Symmetry: No. 47

=====

11.
Density functional theory data (PBE) for a relaxed structure of LiTm5Zn4.

Geometry as extended XYZ:
```
10
Lattice="3.540 0.000 0.000 0.000 3.540 0.000 0.000 0.000 17.815" Properties=species:S:1:pos:R:3 pbc="T T T"
Li 0.000 0.000 0.000
Tm 1.770 1.770 1.966
Tm 1.770 1.770 5.409
Tm 1.770 1.770 8.907
Tm 1.770 1.770 12.406
Tm 1.770 1.770 15.849
Zn 0.000 0.000 3.635
Zn 0.000 0.000 7.151
Zn 0.000 0.000 10.664
Zn 0.000 0.000 14.180
```

## Properties
Energy relative to the elements (eV/atom): -0.26
M_tot (μB per cell): 0.00
Symmetry: No. 123

=====

12.
Density functional theory data (PBE) for a relaxed structure of CrMo7.

Geometry as extended XYZ:
```
8
Lattice="-4.139 -3.577 1.267 -4.161 1.615 3.408 -5.157 0.829 -2.063" Properties=species:S:1:pos:R:3 pbc="T T T"
Cr 0.000 0.000 0.000
Mo -4.659 1.222 0.672
Mo -4.648 -1.374 -0.398
Mo -4.150 -0.981 2.338
Mo -2.578 0.414 -1.031
Mo -2.081 0.807 1.704
Mo -2.070 -1.788 0.634
Mo -6.729 -0.567 1.306
```

## Properties
Energy relative to the elements (eV/atom): 0.42
M_tot (μB per cell): 1.00
Energy above the lowest structure with this stoichiometry (meV/atom): 393
Symmetry: No. 225

=====

13.
Density functional theory data (PBE) for a relaxed structure of Tb7SmTh2.

Geometry as extended XYZ:
```
10
Lattice="5.381 -1.143 -0.791 -1.249 8.255 -1.190 -1.249 1.792 8.146" Properties=species:S:1:pos:R:3 pbc="T T T"
Tb -1.249 6.070 1.967
Tb 4.133 2.835 4.198
Tb 0.723 1.263 2.946
Tb 2.161 7.642 3.218
Tb 0.723 3.202 0.145
Tb 2.161 5.703 6.019
Tb 1.442 4.452 3.082
Sm 0.000 0.000 0.000
Th 1.442 6.674 -0.127
Th 1.442 2.231 6.291
```

## Properties
Energy relative to the elements (eV/atom): 0.42
M_tot (μB per cell): 0.00
Energy above the lowest structure with this stoichiometry (meV/atom): 0
Symmetry: No. 12

=====

14.
Density functional theory data (PBE) for a relaxed structure of Zr3ZnSb2.

Geometry as extended XYZ:
```
24
Lattice="-0.326 3.046 -2.729 -3.270 -7.094 -7.527 -11.142 1.704 3.234" Properties=species:S:1:pos:R:3 pbc="T T T"
Zr -1.843 -1.905 -3.448
Zr -12.895 -0.439 -3.575
Zr -8.218 -3.229 -7.248
Zr -6.520 0.885 0.225
Zr -5.041 -3.993 -5.396
Zr -9.697 1.649 -1.626
Zr -3.969 1.138 -2.881
Zr -10.769 -3.482 -4.141
Zr -5.672 -1.715 -2.779
Zr -9.066 -0.628 -4.244
Zr -4.729 -4.159 -8.703
Zr -10.009 1.815 1.680
Zn -1.890 0.062 -1.247
Zn -12.848 -2.406 -5.775
Zn -6.483 -1.535 -5.564
Zn -8.255 -0.809 -1.458
Sb -7.894 -3.332 -4.317
Sb -6.844 0.988 -2.705
Sb -0.922 0.897 -3.515
Sb -13.816 -3.241 -3.508
Sb -3.569 1.291 0.325
Sb -11.169 -3.635 -7.348
Sb -3.967 -0.947 -5.209
Sb -10.771 -1.397 -1.813
```

## Properties
M_tot (μB per cell): 0.00
Formation energy from raw total energies (meV per atom): -474.6
Symmetry: No. 62

=====

15.
Density functional theory data (PBE) for a relaxed structure of HfNbMo3.

Geometry as extended XYZ:
```
5
Lattice="-0.558 -0.858 -4.625 -1.068 -4.512 0.966 -4.581 1.156 0.338" Properties=species:S:1:pos:R:3 pbc="T T T"
Mo -0.534 -2.256 0.483
Mo -2.290 0.578 0.169
Mo -0.279 -0.429 -2.312
Hf -3.103 -2.107 -1.660
Nb 0.000 0.000 0.000
```

## Properties
Energy relative to the elements (eV/atom): 1.48
M_tot (μB per cell): 1.21
Energy above the lowest structure with this stoichiometry (meV/atom): 0
Symmetry: No. 221

=====

16.
Density functional theory data (PBE) for a relaxed structure of Na3ZnRu.

Geometry as extended XYZ:
```
5
Lattice="-2.578 -3.673 -2.890 4.588 -1.359 -2.366 0.892 -3.627 3.813" Properties=species:S:1:pos:R:3 pbc="T T T"
Ru 1.451 -4.329 -0.721
Zn 0.000 0.000 0.000
Na 2.294 -0.679 -1.183
Na 0.446 -1.814 1.907
Na -1.289 -1.836 -1.445
```

## Properties
Energy relative to the elements (eV/atom): 1.11
M_tot (μB per cell): 2.16
Energy above the lowest structure with this stoichiometry (meV/atom): 65
Symmetry: No. 221

=====

17.
Density functional theory data (PBE) for a relaxed structure of Na3AlC.

Geometry as extended XYZ:
```
5
Lattice="4.952 0.000 0.000 0.000 4.952 0.000 0.000 0.000 4.952" Properties=species:S:1:pos:R:3 pbc="T T T"
Na 0.000 2.476 0.000
Na 0.000 0.000 2.476
Na 2.476 0.000 0.000
C 0.000 0.000 0.000
Al 2.476 2.476 2.476
```

## Properties
Energy relative to the elements (eV/atom): 1.01
M_tot (μB per cell): 0.22
Energy above the lowest structure with this stoichiometry (meV/atom): 0
Symmetry: No. 221

=====

18.
Density functional theory data (PBE) for a relaxed structure of ZrSeI.

Geometry as extended XYZ:
```
6
Lattice="-3.056 0.214 -2.404 -2.097 -4.323 2.282 -3.201 5.567 7.606" Properties=species:S:1:pos:R:3 pbc="T T T"
Zr -1.678 -0.555 0.507
Zr -6.676 2.012 6.977
Se -5.484 4.000 5.638
Se -2.870 -2.543 1.845
I -4.277 0.852 0.782
I -4.077 0.606 6.702
```

## Properties
M_tot (μB per cell): 0.00
Formation energy from raw total energies (meV per atom): -1184.2
Symmetry: No. 11

=====

19.
Density functional theory data (PBE) for a relaxed structure of MgZnPt2.

Geometry as extended XYZ:
```
4
Lattice="5.075 -0.014 -0.012 4.229 2.806 -0.012 1.314 0.394 4.332" Properties=species:S:1:pos:R:3 pbc="T T T"
Mg 2.636 0.791 0.783
Pt 0.111 0.033 0.294
Pt 7.874 2.363 2.918
Zn 5.305 1.592 2.467
```

## Properties
Energy relative to the elements (eV/atom): -0.63
M_tot (μB per cell): 0.00
Symmetry: No. 8

=====

20.
Density functional theory data (PBE) for a relaxed structure of Pr2MgSn2Rh5.

Geometry as extended XYZ:
```
20
Lattice="3.701 0.000 0.000 0.000 10.401 0.000 0.000 0.000 10.401" Properties=species:S:1:pos:R:3 pbc="T T T"
Pr 0.000 6.981 1.781
Pr 0.000 3.420 8.620
Pr 0.000 1.781 3.420
Pr 0.000 8.620 6.981
Mg 0.000 0.000 0.000
Mg 0.000 5.200 5.200
Sn 0.000 1.331 6.532
Sn 0.000 9.070 3.869
Sn 0.000 6.532 9.070
Sn 0.000 3.869 1.331
Rh 1.851 2.106 0.604
Rh 1.851 8.295 9.797
Rh 1.851 0.604 8.295
Rh 1.851 7.306 4.597
Rh 1.851 9.797 2.106
Rh 1.851 3.095 5.804
Rh 1.851 5.804 7.306
Rh 1.851 4.597 3.095
Rh 1.851 5.200 0.000
Rh 1.851 0.000 5.200
```

## Properties
Energy relative to the elements (eV/atom): -0.49
M_tot (μB per cell): 0.00
Symmetry: No. 127

=====

21.
Density functional theory data (PBE) for a relaxed structure of Ce4TeRh2.

Geometry as extended XYZ:
```
14
Lattice="-4.510 -1.438 6.165 -2.836 -2.616 -6.748 6.744 -3.670 1.208" Properties=species:S:1:pos:R:3 pbc="T T T"
Ce -2.836 -2.741 3.864
Ce -1.899 -2.070 -1.745
Ce -1.098 -5.770 3.020
Ce 0.626 -3.309 5.380
Ce 0.428 -2.450 1.899
Ce 3.792 -4.278 2.568
Ce 1.126 -4.992 -0.073
Ce -4.222 -4.109 0.500
Te 0.118 -4.157 -2.916
Te -0.602 -7.724 0.625
Rh 1.465 -5.293 3.182
Rh -3.903 -3.444 -2.702
Rh -1.691 -3.610 0.909
Rh 2.926 -3.101 -0.138
```

## Properties
M_tot (μB per cell): 5.01
Formation energy from raw total energies (meV per atom): -740.2
Symmetry: No. 122

=====

22.
Density functional theory data (PBE) for a relaxed structure of Zr2HgPb.

Geometry as extended XYZ:
```
4
Lattice="5.393 0.016 -0.005 -1.556 5.163 -0.005 0.007 0.010 3.248" Properties=species:S:1:pos:R:3 pbc="T T T"
Pb -0.774 2.587 1.621
Hg 2.700 0.013 1.621
Zr 0.000 0.000 0.000
Zr 1.918 2.590 -0.005
```

## Properties
Energy relative to the elements (eV/atom): -0.17
M_tot (μB per cell): 0.00
Energy above the lowest structure with this stoichiometry (meV/atom): 6
Symmetry: No. 12

=====

23.
Density functional theory data (PBE) for a relaxed structure of Mg2TaSi.

Geometry as extended XYZ:
```
4
Lattice="5.354 0.002 0.000 -2.624 4.667 0.000 0.000 0.000 2.901" Properties=species:S:1:pos:R:3 pbc="T T T"
Mg 0.000 0.000 0.000
Mg 1.365 2.334 0.000
Si 2.677 0.001 1.450
Ta -1.312 2.333 1.450
```

## Properties
M_tot (μB per cell): 0.00
Formation energy from raw total energies (meV per atom): 163.7
Symmetry: No. 65

=====

24.
Density functional theory data (PBE) for a relaxed structure of NdDy14Zr.

Geometry as extended XYZ:
```
16
Lattice="6.996 0.939 0.000 -0.939 6.996 0.000 0.000 0.000 9.938" Properties=species:S:1:pos:R:3 pbc="T T T"
Nd 2.036 4.725 0.000
Dy 2.037 4.725 4.969
Dy 6.004 1.696 4.969
Dy 5.534 5.193 0.000
Dy 5.535 5.194 4.969
Dy 2.507 1.227 0.000
Dy 2.506 1.226 4.969
Dy 3.585 6.752 7.496
Dy 3.585 6.752 2.441
Dy 0.489 2.697 7.496
Dy 0.489 2.697 2.441
Dy 0.009 6.273 7.497
Dy 0.009 6.273 2.441
Dy 4.065 3.177 7.496
Dy 4.065 3.177 2.442
Zr 6.005 1.695 0.000
```

## Properties
Energy relative to the elements (eV/atom): 0.04
M_tot (μB per cell): 0.00
Symmetry: No. 123